No. 1
Material: ZnCuPd6
Method: DFT, GGA-PBE
State: optimized geometry

a = 6.900 Å, b = 7.252 Å, c = 5.010 Å
α = 43.43°, β = 46.56°, γ = 58.21°
Positions (direct):
Zn1 0.500 0.500 0.500
Cu1 0.000 0.000 0.000
Pd1 0.951 0.452 0.846
Pd2 0.751 0.953 0.748
Pd3 0.449 0.249 0.351
Pd4 0.249 0.047 0.252
Pd5 0.049 0.548 0.154
Pd6 0.551 0.751 0.649

Output
Calculated density = 10.2 g/cm³
Excess energy over the best structure of this formula in the dataset = 10.9 kJ/mol of atoms
Magnetization = 0.0000 μB per atom
Space group = No. 2
Density of states at the Fermi level = 11.14 states/eV/f.u.
ΔE_f = -0.0584 eV per atom

---

No. 2
Material: Zn2Cu2Pd5
Method: DFT, GGA-PBE
State: optimized geometry

a = 3.954 Å, b = 5.270 Å, c = 8.827 Å
α = 129.76°, β = 102.94°, γ = 90.00°
Positions (direct):
Zn1 0.605 0.051 0.210
Zn2 0.395 0.949 0.790
Cu1 0.802 0.475 0.604
Cu2 0.198 0.525 0.396
Pd1 0.587 0.516 0.175
Pd2 0.413 0.484 0.825
Pd3 0.804 0.976 0.609
Pd4 0.196 0.024 0.391
Pd5 0.000 0.000 0.000

Output
Calculated density = 9.7 g/cm³
Excess energy over the best structure of this formula in the dataset = 6.0 kJ/mol of atoms
Magnetization = 0.0000 μB per atom
Space group = No. 12
Density of states at the Fermi level = 5.16 states/eV/f.u.
ΔE_f = -0.2157 eV per atom

---

No. 3
Material: Zn8Cu2Pd
Method: DFT, GGA-PBE
State: optimized geometry

a = 4.132 Å, b = 6.356 Å, c = 7.148 Å
α = 116.39°, β = 106.16°, γ = 90.00°
Positions (direct):
Zn1 0.637 0.195 0.909
Zn2 0.971 0.025 0.582
Zn3 0.302 0.352 0.236
Zn4 0.768 0.015 0.177
Zn5 0.329 0.869 0.299
Zn6 0.944 0.479 0.519
Zn7 0.137 0.485 0.909
Zn8 0.505 0.746 0.641
Cu1 0.784 0.612 0.206
Cu2 0.489 0.316 0.613
Pd1 0.136 0.906 0.909

Output
Calculated density = 7.9 g/cm³
Excess energy over the best structure of this formula in the dataset = 0.0 kJ/mol of atoms
Magnetization = 0.0000 μB per atom
Space group = No. 5
Density of states at the Fermi level = 2.66 states/eV/f.u.
ΔE_f = -0.1180 eV per atom

---

No. 4
Material: ZnCu2Pd
Method: DFT, GGA-PBE
State: optimized geometry

a = 3.575 Å, b = 3.575 Å, c = 9.441 Å
α = 79.08°, β = 79.08°, γ = 90.00°
Positions (direct):
Zn1 0.500 0.500 0.000
Zn2 0.250 0.750 0.500
Cu1 0.621 0.125 0.250
Cu2 0.129 0.625 0.250
Cu3 0.375 0.379 0.750
Cu4 0.875 0.871 0.750
Pd1 0.000 0.000 0.000
Pd2 0.750 0.250 0.500

Output
Calculated density = 8.5 g/cm³
Magnetization = 0.0000 μB per atom
Space group = No. 122
Density of states at the Fermi level = 1.11 states/eV/f.u.
ΔE_f = 0.0124 eV per atom